Record 1
La3Te3N | PBE | relaxed

The structure in POSCAR format:
```
La3Te3N
1.0
-0.1512 8.0044 -0.4434
-1.3425 -1.5573 -8.2594
-12.9338 -0.1266 2.1262
Te La N
12 12 4
direct
0.2347 0.1213 0.2914 Te
0.2532 0.5968 0.0662 Te
0.3461 0.9585 0.8641 Te
0.2653 0.3787 0.7914 Te
0.1539 0.5415 0.3641 Te
0.2468 0.9032 0.5662 Te
0.6539 0.0415 0.1359 Te
0.7532 0.0968 0.4338 Te
0.7468 0.4032 0.9338 Te
0.7347 0.6213 0.2086 Te
0.7653 0.8787 0.7086 Te
0.8461 0.4585 0.6359 Te
0.0298 0.6740 0.8398 La
0.5298 0.1740 0.6602 La
0.4674 0.6133 0.6113 La
0.6231 0.7561 0.9681 La
0.4702 0.8260 0.3398 La
0.8769 0.7439 0.4681 La
0.1231 0.2561 0.5319 La
0.9674 0.1133 0.8887 La
0.5326 0.3867 0.3887 La
0.3769 0.2439 0.0319 La
0.0326 0.8867 0.1113 La
0.9702 0.3260 0.1602 La
0.9089 0.8390 0.9546 N
0.0911 0.1610 0.0454 N
0.5911 0.6610 0.4546 N
0.4089 0.3390 0.5454 N
```

- V: 31.69 Å³ per atom
- E: -6.262 eV/atom
- ΔE to the lowest computed polymorph: 7 meV/atom
- Formation energy (no corrections): -1.615 eV per atom
- Symmetry: P2_1/c, No. 14

Record 2
Al2Zn2Cu5 | PBE | relaxed

The structure in POSCAR format:
```
Al2Zn2Cu5
1.0
-2.1441 0.7576 -1.7263
3.8612 -5.7821 -4.9176
-3.2428 -4.3603 -0.2023
Cu Zn Al
5 2 2
direct
0.8821 0.5488 0.7854 Cu
0.7716 0.1061 0.5636 Cu
0.2284 0.8939 0.4364 Cu
0.0000 0.0000 0.0000 Cu
0.1179 0.4512 0.2146 Cu
0.3389 0.3310 0.6531 Zn
0.6611 0.6690 0.3469 Zn
0.4565 0.7808 0.8685 Al
0.5435 0.2192 0.1315 Al
```

- V: 13.06 Å³ per atom
- E: -3.531 eV/atom
- Energy relative to the elements: -141 meV per atom
- Density of states at the Fermi level: 1.57 states/eV/f.u.
- Symmetry: P-1, No. 2

Record 3
Pm4Tl5Ru2 | PBE | relaxed

The structure in POSCAR format:
```
Pm4Tl5Ru2
1.0
-2.3507 1.8884 -2.4281
-6.2732 -4.0779 2.9017
-0.9004 7.0852 6.3820
Pm Tl Ru
4 5 2
direct
0.5000 0.1819 0.8325 Pm
0.5000 0.8181 0.1675 Pm
0.5000 0.2181 0.4249 Pm
0.5000 0.7819 0.5751 Pm
0.0000 0.8514 0.8637 Tl
0.0000 0.5562 0.3394 Tl
0.0000 0.5000 0.0000 Tl
0.0000 0.4438 0.6606 Tl
0.0000 0.1486 0.1363 Tl
0.0000 0.9289 0.3744 Ru
0.0000 0.0711 0.6256 Ru
```

- V: 27.00 Å³ per atom
- E: -4.763 eV/atom
- Energy relative to the elements: -274 meV per atom
- Density of states at the Fermi level: 6.97 states/eV/f.u.
- Symmetry: P2/m, No. 10

Record 4
Nb3RhSe | PBE | relaxed

The structure in POSCAR format:
```
Nb3RhSe
1.0
4.6907 0.0000 0.0000
0.0000 4.6907 0.0000
0.0000 0.0000 4.6907
Nb Se Rh
3 1 1
direct
0.0000 0.5000 0.0000 Nb
0.0000 0.0000 0.5000 Nb
0.5000 0.0000 0.0000 Nb
0.0000 0.0000 0.0000 Se
0.5000 0.5000 0.5000 Rh
```

- V: 20.64 Å³ per atom
- E: -7.422 eV/atom
- Density of states at the Fermi level: 8.92 states/eV/f.u.
- ΔE to the lowest computed polymorph: 0 meV/atom
- Formation energy (no corrections): 0.787 eV per atom
- Symmetry: Pm-3m, No. 221

Record 5
CoRhN3 | PBE | relaxed

The structure in POSCAR format:
```
CoRhN3
1.0
3.8339 0.0000 0.0000
0.0000 3.8339 0.0000
0.0000 0.0000 3.8339
N Co Rh
3 1 1
direct
0.5000 0.0000 0.0000 N
0.0000 0.0000 0.5000 N
0.0000 0.5000 0.0000 N
0.5000 0.5000 0.5000 Co
0.0000 0.0000 0.0000 Rh
```

- V: 11.27 Å³ per atom
- E: -5.946 eV/atom
- Density of states at the Fermi level: 5.29 states/eV/f.u.
- Formation energy (no corrections): 1.941 eV per atom
- Symmetry: Pm-3m, No. 221

Record 6
Y2MgBi | PBE | relaxed

The structure in POSCAR format:
```
Y2MgBi
1.0
-2.7916 -7.1064 3.6960
3.3144 -4.5880 -6.3181
3.2185 -6.1047 0.4272
Y Mg Bi
4 2 2
direct
0.6335 0.1250 0.2500 Y
0.1165 0.6250 0.2500 Y
0.3750 0.3665 0.7500 Y
0.8750 0.8835 0.7500 Y
0.5000 0.5000 0.0000 Mg
0.2500 0.7500 0.5000 Mg
0.7500 0.2500 0.5000 Bi
0.0000 0.0000 0.0000 Bi
```

- V: 30.94 Å³ per atom
- E: -4.729 eV/atom
- Energy relative to the elements: -128 meV per atom
- Density of states at the Fermi level: 3.98 states/eV/f.u.
- ΔE to the lowest computed polymorph: 310 meV/atom
- Symmetry: I-42d, No. 122

Record 7
LiCuNi6 | PBE | relaxed

The structure in POSCAR format:
```
LiCuNi6
1.0
-4.3258 -2.2944 -0.7499
1.1470 0.7688 7.3928
-4.6509 8.8332 -0.1970
Ni Cu Li
24 4 4
direct
0.8756 0.2506 0.3745 Ni
0.3751 0.2506 0.6255 Ni
0.1263 0.7515 0.1247 Ni
0.3751 0.2506 0.3745 Ni
0.6249 0.7494 0.3745 Ni
0.1244 0.7494 0.3745 Ni
0.5000 0.0000 0.0000 Ni
0.1244 0.7494 0.6255 Ni
0.1263 0.7515 0.8753 Ni
0.8756 0.2506 0.6255 Ni
0.3748 0.2485 0.8753 Ni
0.8737 0.2485 0.8753 Ni
0.6252 0.7515 0.1247 Ni
0.0000 0.0000 0.5000 Ni
0.6249 0.7494 0.6255 Ni
0.5000 0.0000 0.5000 Ni
0.7492 0.4984 0.2477 Ni
0.8737 0.2485 0.1247 Ni
0.2508 0.5016 0.7523 Ni
0.0000 0.0000 0.0000 Ni
0.2508 0.5016 0.2477 Ni
0.3748 0.2485 0.1247 Ni
0.6252 0.7515 0.8753 Ni
0.7492 0.4984 0.7523 Ni
0.7492 0.4985 0.5000 Cu
0.2508 0.5015 0.5000 Cu
0.0000 0.0000 0.2510 Cu
0.0000 0.0000 0.7490 Cu
0.2493 0.4985 0.0000 Li
0.5000 0.0000 0.2502 Li
0.5000 0.0000 0.7498 Li
0.7507 0.5015 0.0000 Li
```

- V: 10.98 Å³ per atom
- E: -5.083 eV/atom
- Energy relative to the elements: 4 meV per atom
- Density of states at the Fermi level: 10.69 states/eV/f.u.
- ΔE to the lowest computed polymorph: 0 meV/atom
- Symmetry: Cmmm, No. 65

Record 8
KBaInHg | PBE | relaxed

The structure in POSCAR format:
```
KBaInHg
1.0
5.9536 0.0000 0.0000
2.9768 5.1559 0.0000
2.9768 1.7186 4.8611
Ba K Hg In
1 1 1 1
direct
0.0000 0.0000 0.0000 Ba
0.5000 0.5000 0.5000 K
0.7500 0.7500 0.7500 Hg
0.2500 0.2500 0.2500 In
```

- V: 37.30 Å³ per atom
- E: -1.748 eV/atom
- Energy relative to the elements: -233 meV per atom
- Density of states at the Fermi level: 4.40 states/eV/f.u.
- Symmetry: F-43m, No. 216

Record 9
SbSe | PBE | relaxed

The structure in POSCAR format:
```
SbSe
1.0
-3.5305 -10.1390 -4.4312
7.1535 1.4571 -9.0335
2.6647 -1.7283 1.8314
Se Sb
8 8
direct
0.6442 0.8459 0.5000 Se
0.8558 0.6541 0.0000 Se
0.1541 0.6442 0.5000 Se
0.1442 0.3459 0.0000 Se
0.6541 0.1442 0.0000 Se
0.3459 0.8558 0.0000 Se
0.3558 0.1541 0.5000 Se
0.8459 0.3558 0.5000 Se
0.6216 0.6684 0.0000 Sb
0.1684 0.8784 0.5000 Sb
0.3316 0.6216 0.0000 Sb
0.1216 0.1684 0.5000 Sb
0.6684 0.3784 0.0000 Sb
0.3784 0.3316 0.0000 Sb
0.8316 0.1216 0.5000 Sb
0.8784 0.8316 0.5000 Sb
```

- V: 30.91 Å³ per atom
- E: -3.791 eV/atom
- Density of states at the Fermi level: 0.97 states/eV/f.u.
- Formation energy (no corrections): 0.013 eV per atom
- Symmetry: I4/m, No. 87

Record 10
Rb2SmTmS4 | PBE | relaxed

The structure in POSCAR format:
```
Rb2SmTmS4
1.0
4.0989 0.0000 0.0000
0.0000 7.1011 0.1210
0.0000 -2.4941 7.6531
S Tm Sm Rb
4 1 1 2
direct
0.5000 0.2227 0.1908 S
0.5000 0.7773 0.8092 S
0.0000 0.7390 0.1939 S
0.0000 0.2610 0.8061 S
0.0000 0.0000 0.0000 Tm
0.5000 0.5000 0.0000 Sm
0.5000 0.0000 0.5000 Rb
0.0000 0.5000 0.5000 Rb
```

- V: 28.00 Å³ per atom
- E: -5.294 eV/atom
- Density of states at the Fermi level: 0.00 states/eV/f.u.
- Formation energy (no corrections): -1.840 eV per atom
- Symmetry: P2/m, No. 10

Record 11
ZrNbPb3 | PBE | relaxed

The structure in POSCAR format:
```
ZrNbPb3
1.0
5.4542 0.0000 0.0000
0.0000 5.4542 0.0000
0.0000 0.0000 5.4542
Pb Zr Nb
3 1 1
direct
0.0000 0.5000 0.0000 Pb
0.5000 0.0000 0.0000 Pb
0.0000 0.0000 0.5000 Pb
0.5000 0.5000 0.5000 Zr
0.0000 0.0000 0.0000 Nb
```

- V: 32.45 Å³ per atom
- E: -5.026 eV/atom
- Energy relative to the elements: 922 meV per atom
- Density of states at the Fermi level: 5.22 states/eV/f.u.
- ΔE to the lowest computed polymorph: 0 meV/atom
- Symmetry: Pm-3m, No. 221

Record 12
CaMg3Cu2 | PBE | relaxed

The structure in POSCAR format:
```
CaMg3Cu2
1.0
6.1248 -2.7346 0.0348
6.1248 2.7346 0.0348
4.8779 0.0000 4.6042
Ca Cu Mg
1 2 3
direct
0.5000 0.5000 0.5000 Ca
0.0670 0.0670 0.0670 Cu
0.9330 0.9330 0.9330 Cu
0.5000 0.5000 0.0000 Mg
0.5000 0.0000 0.5000 Mg
0.0000 0.5000 0.5000 Mg
```

- V: 25.55 Å³ per atom
- E: -2.193 eV/atom
- Energy relative to the elements: 303 meV per atom
- Density of states at the Fermi level: 2.11 states/eV/f.u.
- Symmetry: R-3m, No. 166